Entry P
# PBE SrAs2SeCl, relaxed
# calculated density: 4.408 Mg/m³
# DOS at the Fermi energy: 4.0 states/eV/f.u.
# crystal system: tetragonal
# magnetization: 0.21 μB/cell
data_SrAs2SeCl
_symmetry_space_group_name_H-M 'P 4/m m m'
_symmetry_Int_Tables_number 123
_symmetry_space_group_name_Hall '-P 4 2'
_cell_length_a 4.959
_cell_length_b 4.959
_cell_length_c 5.389
_cell_angle_alpha 90.00
_cell_angle_beta 90.00
_cell_angle_gamma 90.00
loop_
_atom_site_label
_atom_site_type_symbol
_atom_site_fract_x
_atom_site_fract_y
_atom_site_fract_z
Sr1 Sr 0.000 0.000 0.000
As1 As 0.000 0.500 0.500
Se1 Se 0.500 0.500 0.000
Cl1 Cl 0.500 0.500 0.500

***

Entry Q
# PBE SrAs2SeCl, relaxed
# calculated density: 2.789 Mg/m³
# DOS at the Fermi energy: 7.2 states/eV/f.u.
# crystal system: tetragonal
# magnetization: 2.35 μB/cell
data_SrAs2SeCl
_symmetry_space_group_name_H-M 'P 4/m m m'
_symmetry_Int_Tables_number 123
_symmetry_space_group_name_Hall '-P 4 2'
_cell_length_a 6.059
_cell_length_b 6.059
_cell_length_c 5.706
_cell_angle_alpha 90.00
_cell_angle_beta 90.00
_cell_angle_gamma 90.00
loop_
_atom_site_label
_atom_site_type_symbol
_atom_site_fract_x
_atom_site_fract_y
_atom_site_fract_z
Sr1 Sr 0.000 0.000 0.000
As1 As 0.000 0.500 0.000
Se1 Se 0.000 0.000 0.500
Cl1 Cl 0.500 0.500 0.500

***

Q: What are the energies relative to the best structure? A: entry P 0; entry Q 664, in meV per atom.